# 1
MgZr2H10S6O28 | PBE-GGA | relaxed

## Properties
Magnetic moment = 0.002 μB/atom
Relative energy among the computed polymorphs = 40.8 meV per atom
Calculated volume = 608.3 Å³ per cell
N(E_F) = 0.000 states/eV per cell
Crystal system = triclinic

Cell: 5.308 9.099 12.662 Å, 86.16 89.88 85.57°
Space group P1 (No. 1)
Unique sites:
Mg: 0.000 0.000 0.000
Zr: 0.442 0.764 0.605
Zr: 0.971 0.001 0.265
H: 0.101 0.276 0.599
H: 0.347 0.506 0.257
H: 0.536 0.453 0.345
H: 0.556 0.082 0.955
H: 0.696 0.232 0.975
H: 0.741 0.623 0.992
H: 0.750 0.124 0.815
H: 0.753 0.534 0.875
H: 0.914 0.688 0.898
H: 0.920 0.318 0.506
S: 0.452 0.488 0.728
S: 0.462 0.083 0.432
S: 0.495 0.854 0.100
S: 0.922 0.925 0.753
S: 0.929 0.289 0.145
S: 0.950 0.683 0.433
O: 0.074 0.137 0.115
O: 0.107 0.395 0.162
O: 0.156 0.917 0.694
O: 0.158 0.721 0.509
O: 0.224 0.061 0.367
O: 0.289 0.372 0.714
O: 0.307 0.638 0.746
O: 0.324 0.879 0.190
O: 0.380 0.942 0.003
O: 0.443 0.991 0.532
O: 0.486 0.539 0.298
O: 0.491 0.235 0.443
O: 0.546 0.701 0.079
O: 0.594 0.536 0.628
O: 0.633 0.447 0.816
O: 0.668 0.008 0.367
O: 0.705 0.138 0.934
O: 0.712 0.741 0.484
O: 0.735 0.831 0.712
O: 0.738 0.334 0.063
O: 0.748 0.923 0.120
O: 0.807 0.227 0.245
O: 0.815 0.086 0.743
O: 0.856 0.596 0.932
O: 0.961 0.881 0.869
O: 0.964 0.529 0.419
O: 0.983 0.234 0.552
O: 0.985 0.777 0.333

=====

# 2
Mg3H6SeO3 | PBE-GGA | relaxed

## Properties
Magnetic moment = 0.000 μB/atom
Relative energy among the computed polymorphs = 196.1 meV per atom
Calculated volume = 198.6 Å³ per cell
N(E_F) = 0.000 states/eV per cell
Crystal system = triclinic

Cell: 5.933 5.947 6.790 Å, 73.89 87.42 60.25°
Space group P1 (No. 1)
Unique sites:
Mg: 0.000 0.000 0.000
Mg: 0.207 0.369 0.071
Mg: 0.614 0.606 0.937
H: 0.013 0.500 0.398
H: 0.264 0.199 0.489
H: 0.311 0.786 0.685
H: 0.501 0.794 0.495
H: 0.764 0.144 0.492
H: 0.772 0.204 0.574
Se: 0.636 0.892 0.155
O: 0.192 0.373 0.377
O: 0.253 0.673 0.933
O: 0.440 0.845 0.623

=====

# 3
Mg3H6SeO3 | PBE-GGA | relaxed

## Properties
Magnetic moment = 0.000 μB/atom
Relative energy among the computed polymorphs = 0.0 meV per atom
Calculated volume = 156.4 Å³ per cell
N(E_F) = 0.000 states/eV per cell
Crystal system = triclinic

Cell: 3.698 5.692 7.630 Å, 86.11 77.32 89.24°
Space group P1 (No. 1)
Unique sites:
Mg: 0.000 0.000 0.000
Mg: 0.148 0.489 0.691
Mg: 0.437 0.522 0.156
H: 0.091 0.202 0.802
H: 0.388 0.096 0.243
H: 0.543 0.334 0.442
H: 0.791 0.004 0.525
H: 0.846 0.717 0.313
H: 0.883 0.077 0.440
Se: 0.587 0.728 0.820
O: 0.352 0.451 0.431
O: 0.453 0.160 0.118
O: 0.929 0.701 0.184

=====

# 4
MgH2Se2O8 | PBE-GGA | relaxed

## Properties
Magnetic moment = 0.000 μB/atom
Raw total energy = -5.277 eV/atom
Calculated volume = 342.4 Å³ per cell
N(E_F) = 0.000 states/eV per cell
Crystal system = monoclinic

Cell: 5.219 8.663 8.617 Å, 90.00 118.48 90.00°
Space group P2_1/c (No. 14)
Unique sites:
Mg: 0.000 0.000 0.000
H: 0.443 0.014 0.655
Se: 0.335 0.681 0.285
O: 0.059 0.632 0.317
O: 0.303 0.635 0.720
O: 0.311 0.580 0.104
O: 0.342 0.149 0.043

=====

# 5
MgSiH6O6 | PBE-GGA | relaxed

## Properties
Magnetic moment = 0.000 μB/atom
Relative energy among the computed polymorphs = 0.0 meV per atom
Calculated volume = 198.1 Å³ per cell
N(E_F) = 0.000 states/eV per cell
Crystal system = monoclinic

Cell: 5.165 5.205 7.369 Å, 90.00 90.07 90.00°
Space group P2_1 (No. 4)
Unique sites:
Mg: 0.247 0.000 0.251
Si: 0.252 0.000 0.750
H: 0.036 0.806 0.985
H: 0.068 0.654 0.448
H: 0.228 0.554 0.732
H: 0.303 0.465 0.226
H: 0.410 0.317 0.949
H: 0.459 0.208 0.511
O: 0.052 0.657 0.313
O: 0.112 0.697 0.690
O: 0.133 0.969 0.979
O: 0.368 0.042 0.521
O: 0.400 0.303 0.814
O: 0.441 0.342 0.189

=====

# 6
Mg16Si8HO32 | PBE-GGA | relaxed

## Properties
Magnetic moment = 0.000 μB/atom
Relative energy among the computed polymorphs = 12.1 meV per atom
Calculated volume = 611.7 Å³ per cell
N(E_F) = 2.114 states/eV per cell
Crystal system = triclinic

Cell: 6.107 9.640 10.392 Å, 90.21 90.93 90.69°
Space group P1 (No. 1)
Unique sites:
Mg: 0.000 0.000 0.000
Mg: 0.002 0.499 0.998
Mg: 0.244 0.496 0.720
Mg: 0.250 0.989 0.733
Mg: 0.256 0.246 0.221
Mg: 0.261 0.744 0.218
Mg: 0.498 0.251 0.943
Mg: 0.501 0.747 0.944
Mg: 0.503 0.494 0.441
Mg: 0.548 0.977 0.431
Mg: 0.744 0.496 0.724
Mg: 0.748 0.993 0.724
Mg: 0.755 0.247 0.216
Mg: 0.763 0.744 0.217
Mg: 0.969 0.255 0.496
Mg: 0.998 0.738 0.502
Si: 0.008 0.461 0.312
Si: 0.018 0.961 0.313
Si: 0.495 0.209 0.627
Si: 0.496 0.709 0.627
Si: 0.505 0.032 0.125
Si: 0.505 0.532 0.126
Si: 0.995 0.281 0.815
Si: 0.997 0.780 0.817
H: 0.239 0.064 0.497
O: 0.003 0.131 0.313
O: 0.005 0.385 0.167
O: 0.012 0.631 0.311
O: 0.016 0.885 0.169
O: 0.215 0.356 0.882
O: 0.216 0.854 0.887
O: 0.220 0.385 0.384
O: 0.237 0.900 0.390
O: 0.246 0.137 0.567
O: 0.278 0.634 0.558
O: 0.288 0.106 0.057
O: 0.289 0.605 0.057
O: 0.491 0.377 0.627
O: 0.496 0.133 0.770
O: 0.498 0.634 0.773
O: 0.499 0.879 0.629
O: 0.503 0.362 0.128
O: 0.508 0.607 0.272
O: 0.509 0.862 0.129
O: 0.510 0.106 0.272
O: 0.693 0.133 0.550
O: 0.709 0.634 0.558
O: 0.719 0.106 0.056
O: 0.720 0.606 0.058
O: 0.782 0.355 0.884
O: 0.785 0.855 0.885
O: 0.789 0.388 0.380
O: 0.810 0.878 0.382
O: 0.988 0.356 0.669
O: 0.997 0.111 0.814
O: 0.997 0.610 0.814
O: 0.998 0.854 0.671

=====

# 7
MgSiH2O4 | PBE-GGA | relaxed

## Properties
Magnetic moment = 0.000 μB/atom
Raw total energy = -6.219 eV/atom
Calculated volume = 59.6 Å³ per cell
N(E_F) = 0.000 states/eV per cell
Crystal system = monoclinic

Cell: 4.342 2.857 4.807 Å, 90.00 93.24 90.00°
Space group Pm (No. 6)
Unique sites:
Mg: 0.000 0.000 0.000
Si: 0.501 0.500 0.469
H: 0.041 0.000 0.504
H: 0.525 0.500 0.953
O: 0.254 0.000 0.616
O: 0.275 0.500 0.166
O: 0.700 0.500 0.813
O: 0.729 0.000 0.366

=====

# 8
Mg16Si8HO32 | PBE-GGA | relaxed

## Properties
Magnetic moment = 0.018 μB/atom
Relative energy among the computed polymorphs = 0.0 meV per atom
Calculated volume = 602.2 Å³ per cell
N(E_F) = 0.000 states/eV per cell
Crystal system = monoclinic

Cell: 9.612 6.060 10.337 Å, 90.00 90.03 90.00°
Space group Pm (No. 6)
Unique sites:
Mg: 0.000 0.000 0.000
Mg: 0.003 0.250 0.277
Mg: 0.007 0.500 0.555
Mg: 0.250 0.500 0.055
Mg: 0.254 0.250 0.778
Mg: 0.257 0.000 0.501
Mg: 0.499 0.000 0.999
Mg: 0.504 0.250 0.277
Mg: 0.507 0.500 0.555
Mg: 0.749 0.500 0.054
Mg: 0.754 0.250 0.779
Mg: 0.760 0.000 0.500
Si: 0.041 0.000 0.684
Si: 0.217 0.000 0.184
Si: 0.289 0.500 0.370
Si: 0.467 0.500 0.872
Si: 0.540 0.000 0.682
Si: 0.717 0.000 0.181
Si: 0.790 0.500 0.371
Si: 0.967 0.500 0.871
H: 0.495 0.000 0.486
O: 0.114 0.000 0.831
O: 0.115 0.217 0.615
O: 0.119 0.500 0.367
O: 0.137 0.500 0.870
O: 0.142 0.000 0.331
O: 0.143 0.217 0.115
O: 0.362 0.285 0.440
O: 0.365 0.500 0.224
O: 0.370 0.000 0.690
O: 0.387 0.000 0.187
O: 0.392 0.284 0.941
O: 0.392 0.500 0.725
O: 0.615 0.000 0.830
O: 0.617 0.220 0.617
O: 0.620 0.500 0.369
O: 0.637 0.500 0.870
O: 0.642 0.217 0.114
O: 0.646 0.000 0.329
O: 0.864 0.500 0.224
O: 0.865 0.283 0.440
O: 0.871 0.000 0.686
O: 0.887 0.000 0.184
O: 0.893 0.283 0.941
O: 0.893 0.500 0.725

=====

# 9
MgSiH6O6 | PBE-GGA | relaxed

## Properties
Magnetic moment = 0.000 μB/atom
Relative energy among the computed polymorphs = 8.9 meV per atom
Calculated volume = 199.6 Å³ per cell
N(E_F) = 0.000 states/eV per cell
Crystal system = monoclinic

Cell: 5.152 5.241 7.394 Å, 90.00 90.16 90.00°
Space group P2_1 (No. 4)
Unique sites:
Mg: 0.247 0.000 0.251
Si: 0.249 0.001 0.749
H: 0.011 0.864 0.992
H: 0.067 0.345 0.452
H: 0.226 0.448 0.734
H: 0.311 0.536 0.217
H: 0.410 0.683 0.941
H: 0.494 0.119 0.511
O: 0.046 0.343 0.318
O: 0.104 0.307 0.699
O: 0.125 0.014 0.978
O: 0.372 0.974 0.521
O: 0.407 0.696 0.807
O: 0.450 0.659 0.183

=====

# 10
Mg10Si3H4O18 | PBE-GGA | relaxed

## Properties
Magnetic moment = 0.000 μB/atom
Raw total energy = -6.334 eV/atom
Calculated volume = 643.6 Å³ per cell
N(E_F) = 0.000 states/eV per cell
Crystal system = orthorhombic

Cell: 5.163 14.126 8.824 Å, 90.00 90.00 90.00°
Space group Pnnm (No. 58)
Unique sites:
Mg: 0.000 0.000 0.158
Mg: 0.000 0.500 0.178
Mg: 0.158 0.177 0.324
Mg: 0.168 0.325 0.000
Si: 0.000 0.000 0.500
Si: 0.015 0.623 0.500
H: 0.081 0.809 0.102
O: 0.009 0.741 0.500
O: 0.020 0.753 0.158
O: 0.144 0.927 0.355
O: 0.168 0.586 0.344
O: 0.196 0.579 0.000
O: 0.207 0.913 0.000

=====

# 11
MgU2Si2H4O12 | PBE-GGA | relaxed

## Properties
Magnetic moment = 0.095 μB/atom
Raw total energy = -7.392 eV/atom
Calculated volume = 682.1 Å³ per cell
N(E_F) = 7.823 states/eV per cell
Crystal system = monoclinic

Cell: 15.329 6.762 6.689 Å, 90.00 100.29 90.00°
Space group C2/m (No. 12)
Unique sites:
Mg: 0.000 0.000 0.000
U: 0.236 0.000 0.848
Si: 0.186 0.000 0.294
H: 0.092 0.384 0.856
O: 0.081 0.000 0.254
O: 0.102 0.500 0.945
O: 0.109 0.000 0.841
O: 0.229 0.185 0.172
O: 0.234 0.000 0.534

=====

What is the calculated volume in the seventh record? 59.6 Å³ per cell

=====

Number 4 is which compound? MgH2Se2O8